First-principles (GGA-PBE) data for a geometry-optimized AlCu2Sb structure, as listed in the Alexandria database.

a b c (Å): 4.399 4.399 5.427
angles (deg): 78.30 78.30 42.20
Fractional coordinates of all 4 atoms:
Sb 0.497 0.497 0.529
Al 0.262 0.262 0.172
Cu 0.001 0.001 0.990
Cu 0.740 0.740 0.808

Properties
Energy above the most stable polymorph in this dataset   45.0 meV per atom
Final energy   -3.936 eV/atom
Formation energy without anion corrections   0.31 eV/f.u.
Total moment   0.0 Bohr magnetons per cell